1.
6
Lattice="3.068 0.000 0.000 0.000 3.068 0.000 0.000 0.000 15.887" Properties=species:S:1:pos:R:3 comment="PBE Pu3SnHg2, optimized geometry" magnetic_moment_mub_per_fu=6.24 delta_e_f_ev_per_atom=0.210 space_group="No. 123" pbc="T T T"
Pu 0.000 0.000 0.000
Pu 0.000 0.000 2.477
Pu 0.000 0.000 13.409
Sn 1.534 1.534 7.943
Hg 1.534 1.534 4.995
Hg 1.534 1.534 10.891

2.
4
Lattice="0.000 3.775 3.775 3.775 0.000 3.775 3.775 3.775 0.000" Properties=species:S:1:pos:R:3 comment="PBE Pu2SnHg, optimized geometry" magnetic_moment_mub_per_fu=12.00 delta_e_f_ev_per_atom=-0.233 space_group="No. 225" pbc="T T T"
Pu 1.888 1.888 1.888
Pu 5.663 5.663 5.663
Sn 0.000 0.000 0.000
Hg 3.775 3.775 3.775

3.
4
Lattice="3.148 -3.585 0.000 3.148 3.585 0.000 0.000 0.000 4.560" Properties=species:S:1:pos:R:3 comment="PBE Pu2SnHg, optimized geometry" magnetic_moment_mub_per_fu=11.60 delta_e_f_ev_per_atom=-0.253 space_group="No. 65" pbc="T T T"
Pu 1.574 1.793 0.000
Pu 1.574 -1.793 0.000
Sn 0.000 0.000 2.280
Hg 3.148 0.000 2.280

4.
6
Lattice="3.195 0.000 0.000 0.000 5.176 0.000 0.000 0.000 8.967" Properties=species:S:1:pos:R:3 comment="PBE Pu2SnHg3, optimized geometry" magnetic_moment_mub_per_fu=11.86 delta_e_f_ev_per_atom=-0.202 space_group="No. 25" pbc="T T T"
Pu 0.000 0.000 0.000
Pu 0.000 2.588 4.447
Sn 1.598 2.588 7.458
Hg 1.598 0.000 2.950
Hg 1.598 0.000 5.906
Hg 1.598 2.588 1.517

5.
6
Lattice="0.000 4.352 4.352 4.352 0.000 4.352 4.352 4.352 0.000" Properties=species:S:1:pos:R:3 comment="PBE PuSn4Hg, optimized geometry" magnetic_moment_mub_per_fu=5.44 delta_e_f_ev_per_atom=-0.030 space_group="No. 216" pbc="T T T"
Pu 0.000 0.000 0.000
Sn 5.440 3.265 3.265
Sn 3.265 5.440 3.265
Sn 3.265 3.265 5.440
Sn 5.440 5.440 5.440
Hg 2.176 2.176 2.176

6.
6
Lattice="3.029 -1.747 0.000 3.029 1.747 0.000 -0.008 0.000 13.847" Properties=species:S:1:pos:R:3 comment="PBE PuSnHg, optimized geometry" magnetic_moment_mub_per_fu=0.38 e_above_lowest_polymorph_ev_per_atom=0.278 delta_e_f_ev_per_atom=0.035 space_group="No. 12" pbc="T T T"
Pu 1.005 0.000 6.316
Pu 5.044 0.000 7.531
Sn 1.015 0.000 1.307
Sn 5.035 0.000 12.540
Hg 3.027 0.000 3.831
Hg 3.023 0.000 10.016

7.
8
Lattice="4.637 0.000 0.000 0.000 4.798 0.000 0.000 0.000 9.032" Properties=species:S:1:pos:R:3 comment="PBE Pu2Sn3Hg3, optimized geometry" magnetic_moment_mub_per_fu=11.22 delta_e_f_ev_per_atom=-0.246 space_group="No. 47" pbc="T T T"
Pu 0.000 0.000 2.231
Pu 0.000 0.000 6.802
Sn 0.000 2.399 0.000
Sn 2.318 0.000 0.000
Sn 2.318 0.000 4.516
Hg 0.000 2.399 4.516
Hg 2.318 2.399 2.277
Hg 2.318 2.399 6.756

8.
7
Lattice="4.366 -2.601 0.000 4.366 2.601 0.000 -3.213 0.000 8.119" Properties=species:S:1:pos:R:3 comment="PBE PuSn2Hg4, optimized geometry" magnetic_moment_mub_per_fu=5.68 delta_e_f_ev_per_atom=-0.047 space_group="No. 12" pbc="T T T"
Pu 0.000 0.000 0.000
Sn 0.000 0.000 3.280
Sn 5.520 0.000 4.839
Hg -0.349 0.000 6.399
Hg 2.924 0.000 1.534
Hg 2.596 0.000 6.585
Hg 5.869 0.000 1.720